Entry 1:
Cu2WCl after structural relaxation. Source: Alexandria, functional GGA-PBEsol.

ΔE to the lowest computed polymorph (meV/atom): 560
Uncorrected formation energy (meV/atom): 877.5

```
Cu2WCl
1.0
-1.723 3.076 2.331
-4.021 1.134 -0.637
-2.941 -0.933 2.888
Cl W Cu
1 1 2
Direct
0.500 0.500 0.500
0.250 0.250 0.250
0.000 0.000 0.000
0.750 0.750 0.750
```

Entry 2:
Cu2WCl after structural relaxation. Source: Alexandria, functional GGA-PBEsol.

ΔE to the lowest computed polymorph (meV/atom): 0
Uncorrected formation energy (meV/atom): 317.4

```
Cu2WCl
1.0
-1.412 -2.378 0.051
2.200 -1.282 1.124
-2.565 1.671 6.925
W Cl Cu
1 1 2
Direct
0.500 0.500 0.500
0.000 0.500 0.000
0.000 0.000 0.258
0.000 0.000 0.742
```

Entry 3:
Cu2WCl after structural relaxation. Source: Alexandria, functional GGA-PBEsol.

ΔE to the lowest computed polymorph (meV/atom): 225
Uncorrected formation energy (meV/atom): 542.8

```
Cu2WCl
1.0
2.743 0.000 0.000
-1.371 4.181 -0.015
0.000 -0.851 4.811
Cl Cu W
1 2 1
Direct
0.758 0.515 0.293
0.990 0.980 0.957
0.248 0.497 0.778
0.504 0.007 0.473
```

Entry 4:
CuW2Cl after structural relaxation. Source: Alexandria, functional GGA-PBEsol.

ΔE to the lowest computed polymorph (meV/atom): 123
Uncorrected formation energy (meV/atom): 1221.7

```
CuW2Cl
1.0
3.713 0.000 0.000
0.000 3.713 0.000
-1.856 -1.856 4.419
Cl Cu W
1 1 2
Direct
0.500 0.500 0.000
0.000 0.000 0.000
0.250 0.750 0.500
0.750 0.250 0.500
```

Entry 5:
CuWCl2 after structural relaxation. Source: Alexandria, functional GGA-PBEsol.

ΔE to the lowest computed polymorph (meV/atom): 1057
Uncorrected formation energy (meV/atom): 1236.0

```
CuWCl2
1.0
4.526 0.000 0.000
2.263 3.919 0.000
2.263 1.306 3.695
W Cu Cl
1 1 2
Direct
0.250 0.250 0.250
0.500 0.500 0.500
0.750 0.750 0.750
0.000 0.000 0.000
```

Entry 6:
Cu2WCl after structural relaxation. Source: Alexandria, functional GGA-PBEsol.

ΔE to the lowest computed polymorph (meV/atom): 260
Uncorrected formation energy (meV/atom): 577.9

```
Cu2WCl
1.0
2.703 0.000 0.000
0.000 4.803 0.000
0.000 -2.402 4.283
Cu Cl W
2 1 1
Direct
0.000 0.500 0.500
0.000 0.000 0.500
0.500 0.500 0.000
0.500 0.000 0.000
```

Entry 7:
YCuCl2 after structural relaxation. Source: Alexandria, functional GGA-PBEsol.

ΔE to the lowest computed polymorph (meV/atom): 189
Uncorrected formation energy (meV/atom): -823.3

```
YCuCl2
1.0
4.115 0.000 0.000
0.000 4.115 0.000
-2.058 -2.058 4.377
Y Cl Cu
1 2 1
Direct
0.250 0.750 0.500
0.750 0.250 0.500
0.000 0.000 0.000
0.500 0.500 0.000
```

Entry 8:
YCu2Cl after structural relaxation. Source: Alexandria, functional GGA-PBEsol.

ΔE to the lowest computed polymorph (meV/atom): 218
Uncorrected formation energy (meV/atom): -143.1

```
YCu2Cl
1.0
-1.155 1.575 -2.712
2.562 -1.193 -1.784
-3.420 -5.098 -1.503
Cu Y Cl
2 1 1
Direct
0.000 0.000 0.727
0.000 0.000 0.273
0.500 0.500 0.000
0.500 0.500 0.500
```